SrNdCr4O12 after structural relaxation, computed with PBE with a Hubbard U.

Its mass density is 4.3 g/cm³. The final energy comes out at -7.051 eV per atom. Its density of states at the Fermi level is 17.02 states/eV per cell.

The structure belongs to space group Amm2 (No. 38); the cell edges are 6.5890, 7.3942 and 10.0709 Å and the angles 90.00°, 90.00° and 90.00°. The inequivalent atoms are Sr at (0.0000, 0.0000, 0.0000), Nd at (0.5000, 0.0000, 0.4943), Cr at (0.2513, 0.2482, 0.7721), O at (0.0000, 0.1812, 0.2117), O at (0.1717, 0.0000, 0.7548), O at (0.2603, 0.2481, 0.4439), O at (0.3341, 0.0000, 0.2649) and O at (0.5000, 0.1840, 0.6974).